This record from Alexandria describes crystalline Li2HgSb at its relaxed geometry. The functional is PBEsol.

abc: 3.318 3.318 6.878
angles: 90.00 90.00 90.00
Positions (direct):
Sb (0.500, 0.500, 0.000)
Hg (0.500, 0.500, 0.500)
Li (0.000, 0.000, 0.735)
Li (0.000, 0.000, 0.265)

Results
The crystal system is tetragonal. Its size of the total moment is 0.000 μB per formula unit. The calculation puts the formation energy (no corrections) at -40 kJ/mol of atoms. As for the space group: P4/mmm. The density of states at the Fermi level comes out at 1.3 states/eV per cell. For the mass density, the calculation gives 7.37 g/cm³.